A plane-wave DFT calculation with PBE was carried out for a relaxed BeAl6Re2 crystal.

The structure in POSCAR format:
```
BeAl6Re2
1.0
3.388 0.000 -1.013
-0.661 5.837 -2.210
0.079 0.005 6.436
Be Al Re
1 6 2
Cartesian
1.363 2.919 -1.612
0.851 4.951 2.847
1.955 0.892 0.366
1.930 4.882 0.284
0.266 2.917 0.891
0.876 0.961 2.929
2.540 2.925 2.322
3.144 1.212 4.342
-0.338 4.631 -1.129
```

Computed properties:
As for the volume: 14.2 A^3/atom. The space group is C2/m, No. 12. The total DFT energy (no corrections) is -52.22 eV/cell. The energy of formation from the pure elements is -127 meV/atom. As for the spin magnetization: 0.000 μB/f.u.